Record 1
# KSrBi3

An optimized crystal structure of KSrBi3 (PBE-GGA, Alexandria via LeMat-Bulk).

Output
density = 5.21 g cm⁻³
total magnetization = 0.0000 μB/atom
calculated formation energy = 175 meV/atom
space-group type = No. 221

Cell lengths 6.2177, 6.2177, 6.2177 Å; angles 90.00, 90.00, 90.00 degrees
Closest atoms and distances in Å follow each position.
Atoms (fractional coordinates):
Sr (0.0000, 0.0000, 0.0000)  6 Bi 3.11
K (0.5000, 0.5000, 0.5000)  12 Bi 4.40
Bi (0.0000, 0.5000, 0.0000)  2 Sr 3.11
Bi (0.0000, 0.0000, 0.5000)  2 Sr 3.11
Bi (0.5000, 0.0000, 0.0000)  2 Sr 3.11

=====

Record 2
# FeSbSe2

An optimized crystal structure of FeSbSe2 (PBE-GGA, Alexandria via LeMat-Bulk).

Output
density = 5.75 g cm⁻³
total magnetization = 0.5508 μB/atom
total energy = -4.87 eV per atom
space-group type = No. 71

Cell lengths 6.4533, 6.4533, 6.4533 Å; angles 148.95, 135.22, 55.48 degrees
Closest atoms and distances in Å follow each position.
Atoms (fractional coordinates):
Fe (0.7500, 0.2500, 0.5000)  4 Se 2.41
Sb (0.2500, 0.7500, 0.5000)  4 Se 2.98, 4 Fe 3.00
Se (0.8973, 0.8973, 0.0000)  2 Fe 2.41
Se (0.6027, 0.6027, 0.0000)  2 Fe 2.41

=====

Record 3
# Pr5CuS4

An optimized crystal structure of Pr5CuS4 (PBE-GGA, Alexandria via LeMat-Bulk).

Output
density = 5.99 g cm⁻³
total magnetization = 0.0000 μB/atom
total energy = -6.10 eV per atom
space-group type = No. 87

Cell lengths 5.8569, 7.1419, 7.1419 Å; angles 80.32, 65.79, 65.79 degrees
Closest atoms and distances in Å follow each position.
Atoms (fractional coordinates):
Pr (0.8983, 0.4067, 0.7986)  5 S 2.86-2.93, 1 Cu 2.96
Pr (0.3050, 0.7986, 0.5933)  5 S 2.86-2.93, 1 Cu 2.96
Pr (0.6969, 0.2014, 0.4067)  5 S 2.86-2.93, 1 Cu 2.96
Pr (0.1036, 0.5933, 0.2014)  5 S 2.86-2.93, 1 Cu 2.96
Pr (0.5013, 0.0000, 0.0000)  4 S 2.92, 2 Cu 2.93
Cu (0.0015, 0.0000, 0.0000)  6 Pr 2.93-2.96
S (0.4013, 0.4011, 0.7983)  6 Pr 2.86-2.93
S (0.8023, 0.7983, 0.5989)  6 Pr 2.86-2.93
S (0.1996, 0.2017, 0.4011)  6 Pr 2.86-2.93
S (0.6006, 0.5989, 0.2017)  6 Pr 2.86-2.93

=====

Record 4
# CuRe2Ir

An optimized crystal structure of CuRe2Ir (PBE-GGA, Alexandria via LeMat-Bulk).

Output
density = 18.03 g cm⁻³
total magnetization = 0.0000 μB/atom
calculated formation energy = 414 meV/atom
space-group type = No. 123

Cell lengths 4.6258, 4.6258, 2.7042 Å; angles 90.00, 90.00, 90.00 degrees
Closest atoms and distances in Å follow each position.
Atoms (fractional coordinates):
Cu (0.5000, 0.0000, 0.5000)  8 Re 2.68, 2 Cu 2.70
Ir (0.0000, 0.5000, 0.5000)  8 Re 2.68, 2 Ir 2.70
Re (0.0000, 0.0000, 0.0000)  4 Ir 2.68, 4 Cu 2.68, 2 Re 2.70
Re (0.5000, 0.5000, 0.0000)  4 Ir 2.68, 4 Cu 2.68, 2 Re 2.70

=====

Record 5
# TeOs2Cl

An optimized crystal structure of TeOs2Cl (PBE-GGA, Alexandria via LeMat-Bulk).

Output
density = 11.54 g cm⁻³
total magnetization = 0.0000 μB/atom
total energy = -5.93 eV per atom
space-group type = No. 44

Cell lengths 7.0595, 7.0595, 7.0595 Å; angles 156.06, 146.71, 41.43 degrees
Closest atoms and distances in Å follow each position.
Atoms (fractional coordinates):
Cl (0.2453, 0.7453, 0.5000)  4 Os 2.54
Os (0.9414, 0.9414, 0.0000)  2 Os 2.58, 4 Te 2.77
Os (0.7802, 0.2802, 0.5000)  4 Cl 2.54, 2 Os 2.58
Te (0.5331, 0.5331, 0.0000)  4 Os 2.77, 2 Te 2.93

=====

Record 6
# Be2AsCl

An optimized crystal structure of Be2AsCl (PBE-GGA, Alexandria via LeMat-Bulk).

Output
density = 3.11 g cm⁻³
total magnetization = 0.0000 μB/atom
total energy = -3.89 eV per atom
space-group type = No. 166

Cell lengths 6.2918, 6.2918, 6.2913 Å; angles 33.77, 33.77, 33.76 degrees
Closest atoms and distances in Å follow each position.
Atoms (fractional coordinates):
Be (0.8636, 0.8636, 0.8632)  1 Cl 2.02
Be (0.6364, 0.6364, 0.6368)  1 Cl 2.02
As (0.2500, 0.2500, 0.2500)  6 Be 2.31
Cl (0.7500, 0.7500, 0.7500)  2 Be 2.02

=====

Record 7
# LaPaAs2

An optimized crystal structure of LaPaAs2 (PBE-GGA, Alexandria via LeMat-Bulk).

Output
density = 8.12 g cm⁻³
total magnetization = 0.0008 μB/atom
calculated formation energy = -1280 meV/atom
space-group type = No. 194

Cell lengths 4.1864, 4.1864, 14.0076 Å; angles 90.00, 90.00, 120.00 degrees
Closest atoms and distances in Å follow each position.
Atoms (fractional coordinates):
La (0.6667, 0.3333, 0.2500)  6 As 3.08
La (0.3333, 0.6667, 0.7500)  6 As 3.08
Pa (0.0000, 0.0000, 0.5000)  6 As 2.90
Pa (0.0000, 0.0000, 0.0000)  6 As 2.90
As (0.3333, 0.6667, 0.3859)  3 Pa 2.90, 3 La 3.08
As (0.6667, 0.3333, 0.8859)  3 Pa 2.90, 3 La 3.08
As (0.6667, 0.3333, 0.6141)  3 Pa 2.90, 3 La 3.08
As (0.3333, 0.6667, 0.1141)  3 Pa 2.90, 3 La 3.08

=====

Record 8
# CeBeAs

An optimized crystal structure of CeBeAs (PBE-GGA, Alexandria via LeMat-Bulk).

Output
density = 6.67 g cm⁻³
total magnetization = 0.2517 μB/atom
calculated formation energy = -810 meV/atom
space-group type = No. 187

Cell lengths 4.3295, 3.8562, 3.8562 Å; angles 120.00, 90.00, 90.00 degrees
Closest atoms and distances in Å follow each position.
Atoms (fractional coordinates):
Be (0.1669, 0.6667, 0.3333)  3 As 2.23
As (0.1665, 0.0000, 0.0000)  3 Be 2.23
Ce (0.6666, 0.3333, 0.6667)  6 Be 3.10-3.11, 6 As 3.10-3.11